No. 1
The following is a DFT calculation (PBE-GGA) of an optimized crystal structure of NaCa3Pr2Se6.

Structure (extended XYZ):
```
12
Lattice="-3.3067 5.0946 -4.1289 -3.9748 -5.3103 3.1527 1.5578 4.0516 5.9323" Properties=species:S:1:pos:R:3 pbc="T T T"
Na 0.0000 0.0000 0.0000
Ca -3.0854 -1.5633 4.9144
Ca -2.6383 5.3993 0.0417
Ca -2.8618 1.9180 2.4780
Pr -3.7522 -1.8428 0.7261
Pr -3.5293 1.6272 -1.7023
Se -4.1647 4.6073 2.4681
Se -5.0558 0.8705 0.7799
Se -1.5590 -0.7713 2.4880
Se -4.3893 1.1096 4.9159
Se -0.6678 2.9655 4.1762
Se -1.3344 2.7264 0.0402
```

Output
**ΔE_f (raw)**: -2158 kJ/mol of formula units
**Space group**: C2/m, No. 12
**Crystal system**: monoclinic

No. 2
The following is a DFT calculation (PBE-GGA) of an optimized crystal structure of PmTm3Sc3.

Structure (extended XYZ):
```
14
Lattice="-3.9960 -3.0093 -2.0956 5.7430 -7.1406 -0.6970 -4.9260 1.2038 7.6643" Properties=species:S:1:pos:R:3 pbc="T T T"
Pm 1.1877 -5.1115 1.5662
Pm -4.3667 -3.8346 3.3055
Tm -0.1035 -5.5993 4.7287
Tm 0.1503 -2.4175 -0.3243
Tm 3.5161 -7.3175 0.2940
Tm -3.0755 -3.3468 0.1429
Tm -3.3293 -6.5285 5.1959
Tm -6.6951 -1.6285 4.5776
Sc -2.0175 -6.0292 1.9774
Sc -0.7115 -5.5746 -1.1657
Sc 0.2980 -8.2444 0.7433
Sc -1.1615 -2.9168 2.8942
Sc -2.4675 -3.3715 6.0373
Sc -3.4770 -0.7016 4.1283
```

Output
**Space group**: P6_3/m, No. 176
**Crystal system**: hexagonal
**Energy relative to the elements**: 27 meV/atom

No. 3
The following is a DFT calculation (PBE-GGA) of an optimized crystal structure of BaPrGa2Pt2.

Structure (extended XYZ):
```
6
Lattice="4.4974 0.0000 0.0000 -2.2487 3.8948 0.0000 0.0000 0.0000 8.4713" Properties=species:S:1:pos:R:3 pbc="T T T"
Ba 0.0000 0.0000 0.0000
Pr 0.0000 0.0000 4.2356
Ga 2.2487 1.2983 6.1027
Ga 0.0000 2.5965 2.3686
Pt 2.2487 1.2983 2.4611
Pt 0.0000 2.5965 6.0102
```

Output
**Space group**: P-3m1, No. 164
**Crystal system**: trigonal
**Energy relative to the elements**: -890 meV/atom

No. 4
The following is a DFT calculation (PBE-GGA) of an optimized crystal structure of RbRe3As.

Structure (extended XYZ):
```
5
Lattice="4.7423 0.0000 0.0000 0.0000 4.7423 0.0000 0.0000 0.0000 4.7423" Properties=species:S:1:pos:R:3 pbc="T T T"
Re 0.0000 2.3711 0.0000
Re 0.0000 0.0000 2.3711
Re 2.3711 0.0000 0.0000
As 0.0000 0.0000 0.0000
Rb 2.3711 2.3711 2.3711
```

Output
**Space group**: Pm-3m, No. 221
**Crystal system**: cubic
**Energy relative to the elements**: 2071 meV/atom

No. 5
The following is a DFT calculation (PBE-GGA) of an optimized crystal structure of Li3Mg.

Structure (extended XYZ):
```
8
Lattice="-3.6347 3.7968 -2.7473 -2.0102 -2.6294 -4.9214 -3.7307 -1.7805 2.4751" Properties=species:S:1:pos:R:3 pbc="T T T"
Li -4.5149 -2.5833 -1.6292
Li -3.6094 -1.1675 0.7541
Li -4.0055 -1.4126 -4.7088
Li -5.3701 0.7996 -0.4847
Li -5.7661 0.5545 -5.9476
Li -4.8606 1.9703 -3.5644
Mg -3.0764 -0.0018 -2.2936
Mg -6.2991 -0.6113 -2.9000
```

Output
**Space group**: Cmcm, No. 63
**Crystal system**: orthorhombic
**Energy relative to the elements**: -32 meV/atom

No. 6
The following is a DFT calculation (PBE-GGA) of an optimized crystal structure of KBaCr.

Structure (extended XYZ):
```
3
Lattice="6.0144 0.0000 0.0000 -3.0072 5.2086 0.0000 0.0000 0.0000 4.2420" Properties=species:S:1:pos:R:3 pbc="T T T"
Ba 0.0000 0.0000 0.0407
Cr 3.0072 1.7362 1.7187
K 0.0000 3.4724 2.4826
```

Output
**Space group**: P3m1, No. 156
**Crystal system**: trigonal
**Energy relative to the elements**: 822 meV/atom